Material: TcHgMo2
Method: DFT, PBE
State: optimized geometry

Calculated values
VASP energy = -30.8 eV per cell

abc: 9.666 9.666 9.666
angles: 16.95 16.95 16.95
Fractional positions:
1 Mo 0.507 0.507 0.507
2 Tc 0.250 0.250 0.250
3 Hg 0.750 0.750 0.750
4 Mo 0.993 0.993 0.993